[1]
! CdCSe2 (SCAN, PBEsol geometry); values from VASP
! E_tot, eV per cell: -297.3
&SYSTEM
  ibrav = 0, nat = 16, ntyp = 3
/
ATOMIC_SPECIES
Cd 112.41 Cd.upf
C 12.01 C.upf
Se 78.96 Se.upf
ATOMIC_POSITIONS crystal
Cd 0.000 0.000 0.000
Cd 0.000 0.500 0.500
Cd 0.500 0.000 0.500
Cd 0.500 0.500 0.000
C 0.000 0.000 0.500
C 0.000 0.500 0.000
C 0.500 0.000 0.000
C 0.500 0.500 0.500
Se 0.250 0.250 0.250
Se 0.250 0.250 0.750
Se 0.250 0.750 0.250
Se 0.250 0.750 0.750
Se 0.750 0.250 0.250
Se 0.750 0.250 0.750
Se 0.750 0.750 0.250
Se 0.750 0.750 0.750
CELL_PARAMETERS angstrom
6.510 0.000 0.000
0.000 6.510 0.000
0.000 0.000 6.510

***

[2]
! MgV4O10 (SCAN, PBEsol geometry); values from VASP
! Energy relative to the lowest polymorph listed for this composition, eV per formula unit: 0.00
! E_tot, eV per cell: -176.1
&SYSTEM
  ibrav = 0, nat = 15, ntyp = 3
/
ATOMIC_SPECIES
Mg 24.30 Mg.upf
V 50.94 V.upf
O 16.00 O.upf
ATOMIC_POSITIONS crystal
Mg 0.000 0.000 0.000
V 0.151 0.310 0.310
V 0.351 0.900 0.900
V 0.649 0.900 0.900
V 0.849 0.310 0.310
O 0.000 0.410 0.410
O 0.121 0.151 0.151
O 0.166 0.866 0.866
O 0.316 0.349 0.349
O 0.364 0.057 0.057
O 0.500 0.842 0.842
O 0.636 0.057 0.057
O 0.684 0.349 0.349
O 0.834 0.866 0.866
O 0.879 0.151 0.151
CELL_PARAMETERS angstrom
11.198 0.000 0.000
0.000 1.803 5.013
0.000 -1.803 5.013

***

[3]
! YSiRh (SCAN, PBEsol geometry); values from VASP
! E_tot, eV per cell: -300.6
&SYSTEM
  ibrav = 0, nat = 12, ntyp = 3
/
ATOMIC_SPECIES
Y 88.91 Y.upf
Si 28.09 Si.upf
Rh 102.91 Rh.upf
ATOMIC_POSITIONS crystal
Y 0.001 0.250 0.188
Y 0.499 0.750 0.688
Y 0.501 0.250 0.312
Y 0.999 0.750 0.812
Si 0.203 0.250 0.605
Si 0.297 0.750 0.105
Si 0.703 0.250 0.895
Si 0.797 0.750 0.395
Rh 0.153 0.750 0.431
Rh 0.347 0.250 0.931
Rh 0.653 0.750 0.069
Rh 0.847 0.250 0.569
CELL_PARAMETERS angstrom
6.836 0.000 0.000
0.000 4.203 0.000
0.000 0.000 7.298

***

[4]
! K5Pt (SCAN, PBEsol geometry); values from VASP
! Energy relative to the lowest polymorph listed for this composition, eV per formula unit: 2.31
! E_tot, eV per cell: -109.0
&SYSTEM
  ibrav = 0, nat = 6, ntyp = 2
/
ATOMIC_SPECIES
K 39.10 K.upf
Pt 195.08 Pt.upf
ATOMIC_POSITIONS crystal
K 0.000 0.000 0.000
K 0.134 0.622 0.622
K 0.622 0.134 0.622
K 0.622 0.622 0.134
K 0.622 0.622 0.622
Pt 0.250 0.250 0.250
CELL_PARAMETERS angstrom
0.000 5.062 5.062
5.062 0.000 5.062
5.062 5.062 0.000

***

[5]
! BaCo2As (SCAN, PBEsol geometry); values from VASP
! E_tot, eV per cell: -187.2
&SYSTEM
  ibrav = 0, nat = 8, ntyp = 3
/
ATOMIC_SPECIES
Ba 137.33 Ba.upf
Co 58.93 Co.upf
As 74.92 As.upf
ATOMIC_POSITIONS crystal
Ba 0.000 0.000 0.000
Ba 0.500 0.500 0.500
Co 0.000 0.000 0.490
Co 0.000 0.500 0.137
Co 0.500 0.000 0.637
Co 0.500 0.500 0.990
As 0.000 0.500 0.827
As 0.500 0.000 0.327
CELL_PARAMETERS angstrom
3.949 0.000 0.000
0.000 6.024 0.000
0.000 0.000 7.510

***

[6]
! Hf3TlRe (SCAN, PBEsol geometry); values from VASP
! E_tot, eV per cell: -321.7
&SYSTEM
  ibrav = 0, nat = 5, ntyp = 3
/
ATOMIC_SPECIES
Hf 178.49 Hf.upf
Tl 204.38 Tl.upf
Re 186.21 Re.upf
ATOMIC_POSITIONS crystal
Hf 0.000 0.000 0.500
Hf 0.000 0.500 0.000
Hf 0.500 0.000 0.000
Tl 0.000 0.000 0.000
Re 0.500 0.500 0.500
CELL_PARAMETERS angstrom
5.051 0.000 0.000
0.000 5.051 0.000
0.000 0.000 5.051

***

[7]
! Li2HfCuNi (SCAN, PBEsol geometry); values from VASP
! E_tot, eV per cell: -96.6
&SYSTEM
  ibrav = 0, nat = 5, ntyp = 4
/
ATOMIC_SPECIES
Li 6.94 Li.upf
Hf 178.49 Hf.upf
Cu 63.55 Cu.upf
Ni 58.69 Ni.upf
ATOMIC_POSITIONS crystal
Li 0.000 0.500 0.000
Li 0.500 0.000 0.000
Hf 0.000 0.000 0.500
Cu 0.500 0.500 0.000
Ni 0.500 0.500 0.500
CELL_PARAMETERS angstrom
3.996 0.000 0.000
0.000 3.996 0.000
0.000 0.000 4.557

***

[8]
! MgAlAu2 (SCAN, PBEsol geometry); values from VASP
! E_tot, eV per cell: -614.8
&SYSTEM
  ibrav = 0, nat = 16, ntyp = 3
/
ATOMIC_SPECIES
Mg 24.30 Mg.upf
Al 26.98 Al.upf
Au 196.97 Au.upf
ATOMIC_POSITIONS crystal
Mg 0.000 0.000 0.000
Mg 0.000 0.500 0.500
Mg 0.500 0.000 0.500
Mg 0.500 0.500 0.000
Al 0.000 0.000 0.500
Al 0.000 0.500 0.000
Al 0.500 0.000 0.000
Al 0.500 0.500 0.500
Au 0.250 0.250 0.250
Au 0.250 0.250 0.750
Au 0.250 0.750 0.250
Au 0.250 0.750 0.750
Au 0.750 0.250 0.250
Au 0.750 0.250 0.750
Au 0.750 0.750 0.250
Au 0.750 0.750 0.750
CELL_PARAMETERS angstrom
6.413 0.000 0.000
0.000 6.413 0.000
0.000 0.000 6.413

***

[9]
! Zr2NiAg (SCAN, PBEsol geometry); values from VASP
! E_tot, eV per cell: -218.6
&SYSTEM
  ibrav = 0, nat = 8, ntyp = 3
/
ATOMIC_SPECIES
Zr 91.22 Zr.upf
Ni 58.69 Ni.upf
Ag 107.87 Ag.upf
ATOMIC_POSITIONS crystal
Zr 0.000 0.000 0.000
Zr 0.000 0.500 0.220
Zr 0.500 0.000 0.720
Zr 0.500 0.500 0.500
Ni 0.000 0.500 0.719
Ni 0.500 0.000 0.219
Ag 0.000 0.000 0.434
Ag 0.500 0.500 0.934
CELL_PARAMETERS angstrom
3.146 0.000 0.000
0.000 4.573 0.000
0.000 0.000 9.841

***

[10]
! MnCo (SCAN, PBEsol geometry); values from VASP
! E_tot, eV per cell: -142.5
&SYSTEM
  ibrav = 0, nat = 8, ntyp = 2
/
ATOMIC_SPECIES
Mn 54.94 Mn.upf
Co 58.93 Co.upf
ATOMIC_POSITIONS crystal
Mn 0.000 0.250 0.126
Mn 0.000 0.750 0.874
Mn 0.500 0.250 0.374
Mn 0.500 0.750 0.626
Co 0.000 0.250 0.623
Co 0.000 0.750 0.377
Co 0.500 0.250 0.877
Co 0.500 0.750 0.123
CELL_PARAMETERS angstrom
2.761 0.000 0.000
0.000 3.945 0.000
0.000 0.000 7.955

***

[11]
! MnCo (SCAN, PBEsol geometry); values from VASP
! E_tot, eV per cell: -140.4
&SYSTEM
  ibrav = 0, nat = 8, ntyp = 2
/
ATOMIC_SPECIES
Mn 54.94 Mn.upf
Co 58.93 Co.upf
ATOMIC_POSITIONS crystal
Mn 0.124 0.000 0.289
Mn 0.376 0.500 0.711
Mn 0.624 0.500 0.289
Mn 0.876 0.000 0.711
Co 0.123 0.500 0.792
Co 0.377 0.000 0.208
Co 0.623 0.000 0.792
Co 0.877 0.500 0.208
CELL_PARAMETERS angstrom
8.833 0.000 0.000
0.000 2.421 0.000
-2.014 0.000 3.740

***

[12]
! CaTeAs2 (SCAN, PBEsol geometry); values from VASP
! E_tot, eV per cell: -177.4
&SYSTEM
  ibrav = 0, nat = 8, ntyp = 3
/
ATOMIC_SPECIES
Ca 40.08 Ca.upf
Te 127.60 Te.upf
As 74.92 As.upf
ATOMIC_POSITIONS crystal
Ca 0.000 0.000 0.000
Ca 0.500 0.500 0.500
Te 0.000 0.500 0.250
Te 0.500 0.000 0.750
As 0.000 0.000 0.500
As 0.000 0.500 0.750
As 0.500 0.000 0.250
As 0.500 0.500 0.000
CELL_PARAMETERS angstrom
4.200 0.000 0.000
0.000 4.200 0.000
0.000 0.000 10.312

***

[13]
! Cr5Bi6Se16 (SCAN, PBEsol geometry); values from VASP
! E_tot, eV per cell: -898.7
&SYSTEM
  ibrav = 0, nat = 27, ntyp = 3
/
ATOMIC_SPECIES
Cr 52.00 Cr.upf
Bi 208.98 Bi.upf
Se 78.96 Se.upf
ATOMIC_POSITIONS crystal
Cr 0.000 0.000 0.000
Cr 0.215 0.820 0.992
Cr 0.405 0.608 0.996
Cr 0.608 0.405 0.996
Cr 0.820 0.215 0.992
Bi 0.052 0.052 0.647
Bi 0.124 0.790 0.346
Bi 0.405 0.737 0.644
Bi 0.429 0.429 0.342
Bi 0.737 0.405 0.644
Bi 0.790 0.124 0.346
Se 0.095 0.291 0.123
Se 0.131 0.535 0.870
Se 0.196 0.863 0.598
Se 0.291 0.095 0.123
Se 0.314 0.314 0.879
Se 0.329 0.662 0.391
Se 0.503 0.905 0.114
Se 0.512 0.512 0.597
Se 0.535 0.131 0.870
Se 0.662 0.329 0.391
Se 0.683 0.683 0.119
Se 0.719 0.919 0.871
Se 0.863 0.196 0.598
Se 0.905 0.503 0.114
Se 0.919 0.719 0.871
Se 0.978 0.978 0.394
CELL_PARAMETERS angstrom
3.048 -8.909 0.000
3.048 8.909 0.000
-1.057 0.000 11.406

***

[14]
! GaSb3F (SCAN, PBEsol geometry); values from VASP
! E_tot, eV per cell: -131.4
&SYSTEM
  ibrav = 0, nat = 5, ntyp = 3
/
ATOMIC_SPECIES
Ga 69.72 Ga.upf
Sb 121.76 Sb.upf
F 19.00 F.upf
ATOMIC_POSITIONS crystal
Ga 0.000 0.000 0.000
Sb 0.000 0.500 0.500
Sb 0.500 0.000 0.500
Sb 0.500 0.500 0.000
F 0.500 0.500 0.500
CELL_PARAMETERS angstrom
4.886 0.000 0.000
0.000 4.886 0.000
0.000 0.000 4.886

***

[15]
! ErGe (SCAN, PBEsol geometry); values from VASP
! E_tot, eV per cell: -285.2
&SYSTEM
  ibrav = 0, nat = 8, ntyp = 2
/
ATOMIC_SPECIES
Er 167.26 Er.upf
Ge 72.64 Ge.upf
ATOMIC_POSITIONS crystal
Er 0.000 0.139 0.250
Er 0.000 0.861 0.750
Er 0.500 0.361 0.750
Er 0.500 0.639 0.250
Ge 0.000 0.414 0.250
Ge 0.000 0.586 0.750
Ge 0.500 0.086 0.750
Ge 0.500 0.914 0.250
CELL_PARAMETERS angstrom
4.181 0.000 0.000
0.000 10.485 0.000
0.000 0.000 3.869

***

[16]
! BeAg3As (SCAN, PBEsol geometry); values from VASP
! E_tot, eV per cell: -114.5
&SYSTEM
  ibrav = 0, nat = 5, ntyp = 3
/
ATOMIC_SPECIES
Be 9.01 Be.upf
Ag 107.87 Ag.upf
As 74.92 As.upf
ATOMIC_POSITIONS crystal
Be 0.000 0.000 0.000
Ag 0.000 0.500 0.500
Ag 0.500 0.000 0.500
Ag 0.500 0.500 0.000
As 0.500 0.500 0.500
CELL_PARAMETERS angstrom
4.843 0.000 0.000
0.000 4.843 0.000
0.000 0.000 4.843

***

[17]
! TcAu2 (SCAN, PBEsol geometry); values from VASP
! Energy relative to the lowest polymorph listed for this composition, eV per formula unit: 0.32
! E_tot, eV per cell: -172.2
&SYSTEM
  ibrav = 0, nat = 3, ntyp = 2
/
ATOMIC_SPECIES
Tc 98.00 Tc.upf
Au 196.97 Au.upf
ATOMIC_POSITIONS crystal
Tc 0.000 0.000 0.000
Au 0.000 0.500 0.500
Au 0.500 0.000 0.500
CELL_PARAMETERS angstrom
4.708 0.000 0.000
0.000 4.708 0.000
0.000 0.000 2.641

***

[18]
! Tl2ReRh (SCAN, PBEsol geometry); values from VASP
! Energy relative to the lowest polymorph listed for this composition, eV per formula unit: 0.00
! E_tot, eV per cell: -247.8
&SYSTEM
  ibrav = 0, nat = 4, ntyp = 3
/
ATOMIC_SPECIES
Tl 204.38 Tl.upf
Re 186.21 Re.upf
Rh 102.91 Rh.upf
ATOMIC_POSITIONS crystal
Tl 0.000 0.000 0.000
Tl 0.500 0.500 0.325
Re 0.000 0.000 0.578
Rh 0.500 0.500 0.753
CELL_PARAMETERS angstrom
2.931 0.000 0.000
0.000 2.931 0.000
0.000 0.000 8.881

***

[19]
! InGaP2 (SCAN, PBEsol geometry); values from VASP
! Energy relative to the lowest polymorph listed for this composition, eV per formula unit: 0.00
! E_tot, eV per cell: -288.2
&SYSTEM
  ibrav = 0, nat = 16, ntyp = 3
/
ATOMIC_SPECIES
In 114.82 In.upf
Ga 69.72 Ga.upf
P 30.97 P.upf
ATOMIC_POSITIONS crystal
In 0.000 0.000 0.000
In 0.000 0.500 0.250
In 0.500 0.000 0.750
In 0.500 0.500 0.500
Ga 0.000 0.000 0.500
Ga 0.000 0.500 0.750
Ga 0.500 0.000 0.250
Ga 0.500 0.500 0.000
P 0.223 0.250 0.625
P 0.250 0.723 0.875
P 0.250 0.777 0.375
P 0.277 0.250 0.125
P 0.723 0.750 0.125
P 0.750 0.223 0.375
P 0.750 0.277 0.875
P 0.777 0.750 0.625
CELL_PARAMETERS angstrom
5.662 0.000 0.000
0.000 5.662 0.000
0.000 0.000 11.233

***

[20]
! KBeCu2 (SCAN, PBEsol geometry); values from VASP
! E_tot, eV per cell: -81.5
&SYSTEM
  ibrav = 0, nat = 8, ntyp = 3
/
ATOMIC_SPECIES
K 39.10 K.upf
Be 9.01 Be.upf
Cu 63.55 Cu.upf
ATOMIC_POSITIONS crystal
K 0.000 0.000 0.000
K 0.500 0.500 0.500
Be 0.000 0.000 0.500
Be 0.500 0.500 0.000
Cu 0.000 0.500 0.187
Cu 0.000 0.500 0.813
Cu 0.500 0.000 0.313
Cu 0.500 0.000 0.687
CELL_PARAMETERS angstrom
2.638 0.000 0.000
0.000 5.377 0.000
0.000 0.000 9.409

***

[21]
! Zr2PbSe (SCAN, PBEsol geometry); values from VASP
! Energy relative to the lowest polymorph listed for this composition, eV per formula unit: 0.02
! E_tot, eV per cell: -160.4
&SYSTEM
  ibrav = 0, nat = 4, ntyp = 3
/
ATOMIC_SPECIES
Zr 91.22 Zr.upf
Pb 207.20 Pb.upf
Se 78.96 Se.upf
ATOMIC_POSITIONS crystal
Zr 0.000 0.000 0.000
Zr 0.500 0.500 0.264
Pb 0.000 0.000 0.496
Se 0.500 0.500 0.866
CELL_PARAMETERS angstrom
3.629 0.000 0.000
0.000 3.629 0.000
0.000 0.000 6.956

***

[22]
! AlInAu (SCAN, PBEsol geometry); values from VASP
! E_tot, eV per cell: -446.6
&SYSTEM
  ibrav = 0, nat = 12, ntyp = 3
/
ATOMIC_SPECIES
Al 26.98 Al.upf
In 114.82 In.upf
Au 196.97 Au.upf
ATOMIC_POSITIONS crystal
Al 0.000 0.000 0.000
Al 0.000 0.500 0.500
Al 0.500 0.000 0.500
Al 0.500 0.500 0.000
In 0.000 0.000 0.500
In 0.000 0.500 0.000
In 0.500 0.000 0.000
In 0.500 0.500 0.500
Au 0.250 0.250 0.250
Au 0.250 0.750 0.750
Au 0.750 0.250 0.750
Au 0.750 0.750 0.250
CELL_PARAMETERS angstrom
6.267 0.000 0.000
0.000 6.267 0.000
0.000 0.000 6.267

***

[23]
! TaCrNi (SCAN, PBEsol geometry); values from VASP
! Energy relative to the lowest polymorph listed for this composition, eV per formula unit: 1.54
! E_tot, eV per cell: -400.1
&SYSTEM
  ibrav = 0, nat = 12, ntyp = 3
/
ATOMIC_SPECIES
Ta 180.95 Ta.upf
Cr 52.00 Cr.upf
Ni 58.69 Ni.upf
ATOMIC_POSITIONS crystal
Ta 0.000 0.000 0.000
Ta 0.000 0.500 0.500
Ta 0.500 0.000 0.500
Ta 0.500 0.500 0.000
Cr 0.000 0.000 0.500
Cr 0.000 0.500 0.000
Cr 0.500 0.000 0.000
Cr 0.500 0.500 0.500
Ni 0.250 0.250 0.250
Ni 0.250 0.750 0.750
Ni 0.750 0.250 0.750
Ni 0.750 0.750 0.250
CELL_PARAMETERS angstrom
5.690 0.000 0.000
0.000 5.690 0.000
0.000 0.000 5.690

***

[24]
! LaIrI2O (SCAN, PBEsol geometry); values from VASP
! E_tot, eV per cell: -196.8
&SYSTEM
  ibrav = 0, nat = 5, ntyp = 4
/
ATOMIC_SPECIES
La 138.91 La.upf
Ir 192.22 Ir.upf
I 126.90 I.upf
O 16.00 O.upf
ATOMIC_POSITIONS crystal
La 0.000 0.000 0.000
Ir 0.500 0.500 0.500
I 0.000 0.500 0.500
I 0.500 0.000 0.500
O 0.500 0.500 0.000
CELL_PARAMETERS angstrom
5.634 0.000 0.000
0.000 5.634 0.000
0.000 0.000 3.797

***

[25]
! NaBi2TeW (SCAN, PBEsol geometry); values from VASP
! E_tot, eV per cell: -259.7
&SYSTEM
  ibrav = 0, nat = 5, ntyp = 4
/
ATOMIC_SPECIES
Na 22.99 Na.upf
Bi 208.98 Bi.upf
Te 127.60 Te.upf
W 183.84 W.upf
ATOMIC_POSITIONS crystal
Na 0.000 0.000 0.000
Bi 0.000 0.500 0.000
Bi 0.500 0.000 0.000
Te 0.000 0.000 0.500
W 0.500 0.500 0.500
CELL_PARAMETERS angstrom
5.256 0.000 0.000
0.000 5.256 0.000
0.000 0.000 5.261

***

[26]
! PSeICl2 (SCAN, PBEsol geometry); values from VASP
! E_tot, eV per cell: -81.2
&SYSTEM
  ibrav = 0, nat = 5, ntyp = 4
/
ATOMIC_SPECIES
P 30.97 P.upf
Se 78.96 Se.upf
I 126.90 I.upf
Cl 35.45 Cl.upf
ATOMIC_POSITIONS crystal
P 0.000 0.000 0.000
Se 0.000 0.000 0.500
I 0.500 0.500 0.000
Cl 0.000 0.500 0.500
Cl 0.500 0.000 0.500
CELL_PARAMETERS angstrom
4.742 0.000 0.000
0.000 4.742 0.000
0.000 0.000 5.401

***

[27]
! Sr2Zn3As2O2 (SCAN, PBEsol geometry); values from VASP
! E_tot, eV per cell: -151.1
&SYSTEM
  ibrav = 0, nat = 9, ntyp = 4
/
ATOMIC_SPECIES
Sr 87.62 Sr.upf
Zn 65.41 Zn.upf
As 74.92 As.upf
O 16.00 O.upf
ATOMIC_POSITIONS crystal
Sr 0.086 0.086 0.000
Sr 0.914 0.914 0.000
Zn 0.250 0.750 0.500
Zn 0.500 0.500 0.000
Zn 0.750 0.250 0.500
As 0.332 0.332 0.000
As 0.668 0.668 0.000
O 0.000 0.500 0.500
O 0.500 0.000 0.500
CELL_PARAMETERS angstrom
-2.035 2.035 9.342
2.035 -2.035 9.342
2.035 2.035 -9.342

***

| no. | total magnetic moment (Bohr magnetons per cell) |
| --- | --- |
| 1 | 0.0 |
| 2 | 2.0 |
| 3 | 0.0 |
| 4 | 0.0 |
| 5 | 5.9 |
| 6 | 0.2 |
| 7 | 0.0 |
| 8 | 0.0 |
| 9 | 0.0 |
| 10 | 16.8 |
| 11 | 0.2 |
| 12 | 0.0 |
| 13 | 14.5 |
| 14 | 0.0 |
| 15 | 0.0 |
| 16 | 0.0 |
| 17 | 1.2 |
| 18 | 0.0 |
| 19 | 0.0 |
| 20 | 0.0 |
| 21 | 0.0 |
| 22 | 0.0 |
| 23 | 12.4 |
| 24 | 0.0 |
| 25 | 4.0 |
| 26 | 0.0 |
| 27 | 0.0 |